Entry 1:
A relaxed Y4CuAsN2 crystal, computed with PBE.

Summary:
- SG: No. 187

Cell: 3.569 3.569 13.718 Å, 90.00 90.00 120.00°
Fractional coordinates of all 8 atoms:
1 Y 0.000 0.000 0.149
2 Y 0.000 0.000 0.851
3 Y 0.667 0.333 0.348
4 Y 0.667 0.333 0.652
5 Cu 0.667 0.333 0.000
6 As 0.000 0.000 0.500
7 N 0.333 0.667 0.256
8 N 0.333 0.667 0.744

Entry 2:
A relaxed NiAgGe2 crystal, computed with PBE.

Summary:
- SG: No. 216

Cell: 4.519 4.519 4.519 Å, 60.00 60.00 60.00°
Fractional coordinates of all 4 atoms:
1 Ni 0.000 0.000 0.000
2 Ag 0.250 0.250 0.250
3 Ge 0.500 0.500 0.500
4 Ge 0.750 0.750 0.750

Entry 3:
A relaxed GaCuHgPt crystal, computed with PBE.

Summary:
- SG: No. 216
- Excess energy over the best structure of this formula in the dataset: 0.0 kJ/mol of atoms

Cell: 4.525 4.525 4.525 Å, 60.00 60.00 60.00°
Fractional coordinates of all 4 atoms:
1 Ga 0.000 0.000 0.000
2 Cu 0.250 0.250 0.250
3 Hg 0.500 0.500 0.500
4 Pt 0.750 0.750 0.750

Entry 4:
A relaxed SiIrNO crystal, computed with PBE.

Summary:
- SG: No. 129
- Excess energy over the best structure of this formula in the dataset: 98.0 kJ/mol of atoms

Cell: 3.629 3.629 8.109 Å, 90.00 90.00 90.00°
Fractional coordinates of all 8 atoms:
1 Si 0.250 0.250 0.113
2 Si 0.750 0.750 0.887
3 Ir 0.250 0.750 0.500
4 Ir 0.750 0.250 0.500
5 N 0.250 0.250 0.628
6 N 0.750 0.750 0.372
7 O 0.250 0.750 0.000
8 O 0.750 0.250 0.000

no.,V (Å³ per cell),electronic total energy (eV/atom)
1,151.3,-7.42
2,65.3,-4.10
3,65.5,-3.31
4,106.8,-6.80